{
  "formula": "GaPtN2F",
  "functional": "PBE-GGA",
  "state": "optimized geometry",
  "magmom_total_mub_per_cell": 0.0,
  "raw_formation_energy_ev_per_atom": 0.80,
  "e_above_lowest_polymorph_ev_per_atom": 0.323,
  "e_tot_ev_per_cell": -23.59,
  "lattice_angstrom": [[3.9746, 0.0000, 0.0000], [0.0000, 3.9746, 0.0000], [0.0000, 0.0000, 3.6716]],
  "species": ["Ga", "Pt", "N", "N", "F"],
  "frac_coords": [[0.0000, 0.0000, 0.0000], [0.5000, 0.5000, 0.5000], [0.0000, 0.5000, 0.0000], [0.5000, 0.0000, 0.0000], [0.0000, 0.0000, 0.5000]]
}

{
  "formula": "SiHgBr2",
  "functional": "PBE-GGA",
  "state": "optimized geometry",
  "magmom_total_mub_per_cell": 0.0,
  "raw_formation_energy_ev_per_atom": -0.11,
  "e_above_lowest_polymorph_ev_per_atom": 0.119,
  "e_tot_ev_per_cell": -38.12,
  "lattice_angstrom": [[8.3515, 0.0000, 0.0000], [0.0000, 8.3515, 0.0000], [0.0000, 0.0000, 11.7117]],
  "species": ["Si", "Si", "Si", "Si", "Hg", "Hg", "Hg", "Hg", "Br", "Br", "Br", "Br", "Br", "Br", "Br", "Br"],
  "frac_coords": [[0.0000, 0.0000, 0.0000], [0.0000, 0.5000, 0.2500], [0.5000, 0.0000, 0.7500], [0.5000, 0.5000, 0.5000], [0.0000, 0.0000, 0.5000], [0.0000, 0.5000, 0.7500], [0.5000, 0.0000, 0.2500], [0.5000, 0.5000, 0.0000], [0.0019, 0.7500, 0.1250], [0.2500, 0.0019, 0.8750], [0.2500, 0.4981, 0.3750], [0.4981, 0.7500, 0.6250], [0.5019, 0.2500, 0.6250], [0.7500, 0.5019, 0.3750], [0.7500, 0.9981, 0.8750], [0.9981, 0.2500, 0.1250]]
}

{
  "formula": "Pa4Ge3N4",
  "functional": "PBE-GGA",
  "state": "optimized geometry",
  "magmom_total_mub_per_cell": 0.0,
  "raw_formation_energy_ev_per_atom": -1.32,
  "e_tot_ev_per_cell": -99.61,
  "lattice_angstrom": [[7.9696, 0.0000, 0.0000], [0.0000, 1.9698, 6.3597], [0.0000, -1.9698, 6.3597]],
  "species": ["Pa", "Pa", "Pa", "Pa", "Ge", "Ge", "Ge", "N", "N", "N", "N"],
  "frac_coords": [[0.0000, 0.0000, 0.0000], [0.2394, 0.6881, 0.6881], [0.5000, 0.0134, 0.0134], [0.7606, 0.6881, 0.6881], [0.0000, 0.3109, 0.3109], [0.3036, 0.3715, 0.3715], [0.6964, 0.3715, 0.3715], [0.0000, 0.5876, 0.5876], [0.2482, 0.0960, 0.0960], [0.5000, 0.6154, 0.6154], [0.7518, 0.0960, 0.0960]]
}

{
  "formula": "ReSnP2S",
  "functional": "PBE-GGA",
  "state": "optimized geometry",
  "magmom_total_mub_per_cell": 3.2,
  "raw_formation_energy_ev_per_atom": 1.81,
  "e_above_lowest_polymorph_ev_per_atom": 1.415,
  "e_tot_ev_per_cell": -22.35,
  "lattice_angstrom": [[4.9894, 0.0000, 0.0000], [0.0000, 4.9894, 0.0000], [0.0000, 0.0000, 4.8506]],
  "species": ["Re", "Sn", "P", "P", "S"],
  "frac_coords": [[0.0000, 0.0000, 0.0000], [0.5000, 0.5000, 0.5000], [0.0000, 0.5000, 0.5000], [0.5000, 0.0000, 0.5000], [0.5000, 0.5000, 0.0000]]
}

{
  "formula": "Li2PbSe",
  "functional": "PBE-GGA",
  "state": "optimized geometry",
  "magmom_total_mub_per_cell": 0.0,
  "raw_formation_energy_ev_per_atom": -0.54,
  "e_tot_ev_per_cell": -13.18,
  "lattice_angstrom": [[3.9046, 0.0000, 0.0000], [0.0000, 4.1504, 0.0000], [0.0000, 0.0000, 5.0744]],
  "species": ["Li", "Li", "Pb", "Se"],
  "frac_coords": [[0.0000, 0.0000, 0.0000], [0.0000, 0.5000, 0.5000], [0.5000, 0.0000, 0.5000], [0.5000, 0.5000, 0.0000]]
}

{
  "formula": "LaSc5Te8",
  "functional": "PBE-GGA",
  "state": "optimized geometry",
  "magmom_total_mub_per_cell": 0.5,
  "raw_formation_energy_ev_per_atom": -1.11,
  "e_tot_ev_per_cell": -77.29,
  "lattice_angstrom": [[0.0000, 6.2105, 6.2105], [6.2105, 0.0000, 6.2105], [6.2105, 6.2105, 0.0000]],
  "species": ["La", "Sc", "Sc", "Sc", "Sc", "Sc", "Te", "Te", "Te", "Te", "Te", "Te", "Te", "Te"],
  "frac_coords": [[0.0000, 0.0000, 0.0000], [0.1372, 0.6209, 0.6209], [0.2500, 0.2500, 0.2500], [0.6209, 0.1372, 0.6209], [0.6209, 0.6209, 0.1372], [0.6209, 0.6209, 0.6209], [0.3812, 0.3812, 0.3812], [0.3812, 0.3812, 0.8565], [0.3812, 0.8565, 0.3812], [0.4239, 0.8587, 0.8587], [0.8565, 0.3812, 0.3812], [0.8587, 0.4239, 0.8587], [0.8587, 0.8587, 0.4239], [0.8587, 0.8587, 0.8587]]
}

{
  "formula": "CeGdFeCu",
  "functional": "PBE-GGA",
  "state": "optimized geometry",
  "formation_energy_ev_per_atom": 0.019,
  "magmom_total_mub_per_cell": 25.9,
  "e_tot_ev_per_cell": -129.99,
  "lattice_angstrom": [[6.9032, 0.0000, 0.0000], [0.0000, 6.9032, 0.0000], [0.0000, 0.0000, 6.9032]],
  "species": ["Ce", "Ce", "Ce", "Ce", "Gd", "Gd", "Gd", "Gd", "Fe", "Fe", "Fe", "Fe", "Cu", "Cu", "Cu", "Cu"],
  "frac_coords": [[0.0000, 0.0000, 0.0000], [0.0000, 0.5000, 0.5000], [0.5000, 0.0000, 0.5000], [0.5000, 0.5000, 0.0000], [0.0000, 0.0000, 0.5000], [0.0000, 0.5000, 0.0000], [0.5000, 0.0000, 0.0000], [0.5000, 0.5000, 0.5000], [0.2500, 0.2500, 0.2500], [0.2500, 0.7500, 0.7500], [0.7500, 0.2500, 0.7500], [0.7500, 0.7500, 0.2500], [0.2500, 0.2500, 0.7500], [0.2500, 0.7500, 0.2500], [0.7500, 0.2500, 0.2500], [0.7500, 0.7500, 0.7500]]
}

{
  "formula": "VSCl3",
  "functional": "PBE-GGA",
  "state": "optimized geometry",
  "magmom_total_mub_per_cell": 4.5,
  "raw_formation_energy_ev_per_atom": -0.19,
  "e_above_lowest_polymorph_ev_per_atom": 0.763,
  "e_tot_ev_per_cell": -19.75,
  "lattice_angstrom": [[4.8272, 0.0000, 0.0000], [0.0000, 4.8272, 0.0000], [0.0000, 0.0000, 4.8272]],
  "species": ["V", "S", "Cl", "Cl", "Cl"],
  "frac_coords": [[0.0000, 0.0000, 0.0000], [0.5000, 0.5000, 0.5000], [0.0000, 0.0000, 0.5000], [0.0000, 0.5000, 0.0000], [0.5000, 0.0000, 0.0000]]
}

{
  "formula": "CsSrZr2Sn",
  "functional": "PBE-GGA",
  "state": "optimized geometry",
  "formation_energy_ev_per_atom": 1.565,
  "magmom_total_mub_per_cell": 0.0,
  "e_tot_ev_per_cell": -15.81,
  "lattice_angstrom": [[5.3483, 0.0000, 0.0000], [0.0000, 5.3483, 0.0000], [0.0000, 0.0000, 5.8761]],
  "species": ["Cs", "Sr", "Zr", "Zr", "Sn"],
  "frac_coords": [[0.0000, 0.0000, 0.0000], [0.0000, 0.0000, 0.5000], [0.0000, 0.5000, 0.0000], [0.5000, 0.0000, 0.0000], [0.5000, 0.5000, 0.5000]]
}

{
  "formula": "La3NdCu2O8",
  "functional": "PBE-GGA",
  "state": "optimized geometry",
  "magmom_total_mub_per_cell": 0.3,
  "raw_formation_energy_ev_per_atom": -2.62,
  "e_above_lowest_polymorph_ev_per_atom": 0.000,
  "e_tot_ev_per_cell": -104.15,
  "lattice_angstrom": [[4.0039, 0.0000, 0.0000], [0.0000, 4.0039, 0.0000], [0.0000, 0.0000, 12.5761]],
  "species": ["La", "La", "La", "Nd", "Cu", "Cu", "O", "O", "O", "O", "O", "O", "O", "O"],
  "frac_coords": [[0.0000, 0.0000, 0.0000], [0.0000, 0.0000, 0.3005], [0.5000, 0.5000, 0.5041], [0.5000, 0.5000, 0.8007], [0.0000, 0.0000, 0.6559], [0.5000, 0.5000, 0.1508], [0.0000, 0.5000, 0.1508], [0.0000, 0.5000, 0.4025], [0.0000, 0.5000, 0.6550], [0.0000, 0.5000, 0.8988], [0.5000, 0.0000, 0.1508], [0.5000, 0.0000, 0.4025], [0.5000, 0.0000, 0.6550], [0.5000, 0.0000, 0.8988]]
}

{
  "formula": "AgSn2Ge",
  "functional": "PBE-GGA",
  "state": "optimized geometry",
  "formation_energy_ev_per_atom": 0.257,
  "magmom_total_mub_per_cell": 0.0,
  "e_tot_ev_per_cell": -57.78,
  "lattice_angstrom": [[6.4889, 0.0000, 0.0000], [0.0000, 6.4889, 0.0000], [0.0000, 0.0000, 11.6710]],
  "species": ["Ag", "Ag", "Ag", "Ag", "Sn", "Sn", "Sn", "Sn", "Sn", "Sn", "Sn", "Sn", "Ge", "Ge", "Ge", "Ge"],
  "frac_coords": [[0.0000, 0.0000, 0.0000], [0.0000, 0.5000, 0.2500], [0.5000, 0.0000, 0.7500], [0.5000, 0.5000, 0.5000], [0.2412, 0.2500, 0.6250], [0.2500, 0.7412, 0.8750], [0.2500, 0.7588, 0.3750], [0.2588, 0.2500, 0.1250], [0.7412, 0.7500, 0.1250], [0.7500, 0.2412, 0.3750], [0.7500, 0.2588, 0.8750], [0.7588, 0.7500, 0.6250], [0.0000, 0.0000, 0.5000], [0.0000, 0.5000, 0.7500], [0.5000, 0.0000, 0.2500], [0.5000, 0.5000, 0.0000]]
}

{
  "formula": "VNiS3",
  "functional": "PBE-GGA",
  "state": "optimized geometry",
  "magmom_total_mub_per_cell": 0.1,
  "raw_formation_energy_ev_per_atom": -0.60,
  "e_above_lowest_polymorph_ev_per_atom": 0.000,
  "e_tot_ev_per_cell": -60.61,
  "lattice_angstrom": [[3.2082, 0.0000, 0.0000], [0.0000, 10.9255, 0.0000], [-0.0012, 0.0000, 5.7993]],
  "species": ["V", "V", "Ni", "Ni", "S", "S", "S", "S", "S", "S"],
  "frac_coords": [[0.0098, 0.2500, 0.1122], [0.9902, 0.7500, 0.8878], [0.4899, 0.7500, 0.5132], [0.5101, 0.2500, 0.4868], [0.0100, 0.2500, 0.7294], [0.4902, 0.6066, 0.7852], [0.4902, 0.8934, 0.7852], [0.5098, 0.1066, 0.2148], [0.5098, 0.3934, 0.2148], [0.9900, 0.7500, 0.2706]]
}

{
  "formula": "SrAsBr4",
  "functional": "PBE-GGA",
  "state": "optimized geometry",
  "magmom_total_mub_per_cell": 4.7,
  "raw_formation_energy_ev_per_atom": -0.06,
  "e_tot_ev_per_cell": -13.41,
  "lattice_angstrom": [[0.0000, 4.5823, 4.5823], [4.5823, 0.0000, 4.5823], [4.5823, 4.5823, 0.0000]],
  "species": ["Sr", "As", "Br", "Br", "Br", "Br"],
  "frac_coords": [[0.0000, 0.0000, 0.0000], [0.7500, 0.7500, 0.7500], [0.3747, 0.3747, 0.3747], [0.3747, 0.3747, 0.8759], [0.3747, 0.8759, 0.3747], [0.8759, 0.3747, 0.3747]]
}

{
  "formula": "SmMgGaHg",
  "functional": "PBE-GGA",
  "state": "optimized geometry",
  "formation_energy_ev_per_atom": -0.446,
  "magmom_total_mub_per_cell": 0.0,
  "e_tot_ev_per_cell": -45.71,
  "lattice_angstrom": [[7.1773, 0.0000, 0.0000], [0.0000, 7.1773, 0.0000], [0.0000, 0.0000, 7.1773]],
  "species": ["Sm", "Sm", "Sm", "Sm", "Mg", "Mg", "Mg", "Mg", "Ga", "Ga", "Ga", "Ga", "Hg", "Hg", "Hg", "Hg"],
  "frac_coords": [[0.0000, 0.0000, 0.0000], [0.0000, 0.5000, 0.5000], [0.5000, 0.0000, 0.5000], [0.5000, 0.5000, 0.0000], [0.0000, 0.0000, 0.5000], [0.0000, 0.5000, 0.0000], [0.5000, 0.0000, 0.0000], [0.5000, 0.5000, 0.5000], [0.2500, 0.2500, 0.2500], [0.2500, 0.7500, 0.7500], [0.7500, 0.2500, 0.7500], [0.7500, 0.7500, 0.2500], [0.2500, 0.2500, 0.7500], [0.2500, 0.7500, 0.2500], [0.7500, 0.2500, 0.2500], [0.7500, 0.7500, 0.7500]]
}

{
  "formula": "Sr2In3Au2",
  "functional": "PBE-GGA",
  "state": "optimized geometry",
  "formation_energy_ev_per_atom": -0.456,
  "magmom_total_mub_per_cell": 0.0,
  "e_tot_ev_per_cell": -42.66,
  "lattice_angstrom": [[2.2833, -10.5951, 0.0000], [2.2833, 10.5951, 0.0000], [0.0000, 0.0000, 8.0635]],
  "species": ["Sr", "Sr", "Sr", "Sr", "In", "In", "In", "In", "In", "In", "Au", "Au", "Au", "Au"],
  "frac_coords": [[0.0643, 0.9357, 0.7500], [0.1631, 0.8369, 0.2500], [0.8369, 0.1631, 0.7500], [0.9357, 0.0643, 0.2500], [0.2264, 0.7736, 0.7500], [0.4398, 0.5602, 0.5753], [0.4398, 0.5602, 0.9247], [0.5602, 0.4398, 0.0753], [0.5602, 0.4398, 0.4247], [0.7736, 0.2264, 0.2500], [0.3177, 0.6823, 0.0606], [0.3177, 0.6823, 0.4394], [0.6823, 0.3177, 0.5606], [0.6823, 0.3177, 0.9394]]
}

{
  "formula": "La3Y2Tm",
  "functional": "PBE-GGA",
  "state": "optimized geometry",
  "formation_energy_ev_per_atom": 0.020,
  "magmom_total_mub_per_cell": 0.0,
  "e_tot_ev_per_cell": -64.12,
  "lattice_angstrom": [[3.6575, 0.0000, 0.0000], [0.0105, 7.2445, 0.0000], [0.0066, 0.0708, 15.4463]],
  "species": ["La", "La", "La", "La", "La", "La", "Y", "Y", "Y", "Y", "Tm", "Tm"],
  "frac_coords": [[0.0004, 0.0002, 0.1703], [0.9996, 0.9998, 0.8297], [0.4990, 0.2517, 0.9988], [0.4999, 0.2494, 0.3419], [0.5001, 0.7506, 0.6581], [0.5010, 0.7483, 0.0012], [0.0006, 0.4995, 0.8252], [0.5002, 0.2495, 0.6602], [0.4998, 0.7505, 0.3398], [0.9994, 0.5005, 0.1748], [0.0000, 0.0000, 0.5000], [0.0000, 0.5000, 0.5000]]
}

{
  "formula": "CsAc2TeO8",
  "functional": "PBE-GGA",
  "state": "optimized geometry",
  "magmom_total_mub_per_cell": 0.8,
  "raw_formation_energy_ev_per_atom": -1.94,
  "e_tot_ev_per_cell": -75.17,
  "lattice_angstrom": [[4.9911, 0.0000, 0.0000], [-0.4527, 4.9884, 0.0000], [-0.6391, -0.6727, 8.7102]],
  "species": ["Cs", "Ac", "Ac", "Te", "O", "O", "O", "O", "O", "O", "O", "O"],
  "frac_coords": [[0.0000, 0.0000, 0.0000], [0.4477, 0.4512, 0.7108], [0.5523, 0.5488, 0.2892], [0.0000, 0.0000, 0.5000], [0.0942, 0.7408, 0.3386], [0.2555, 0.9079, 0.6649], [0.2752, 0.2713, 0.4473], [0.3990, 0.5983, 0.0004], [0.6010, 0.4017, 0.9996], [0.7248, 0.7287, 0.5527], [0.7445, 0.0921, 0.3351], [0.9058, 0.2592, 0.6614]]
}

{
  "formula": "BaDyIn4",
  "functional": "PBE-GGA",
  "state": "optimized geometry",
  "formation_energy_ev_per_atom": -0.308,
  "magmom_total_mub_per_cell": 0.0,
  "e_tot_ev_per_cell": -19.32,
  "lattice_angstrom": [[0.0000, 4.4040, 4.4040], [4.4040, 0.0000, 4.4040], [4.4040, 4.4040, 0.0000]],
  "species": ["Ba", "Dy", "In", "In", "In", "In"],
  "frac_coords": [[0.0000, 0.0000, 0.0000], [0.7500, 0.7500, 0.7500], [0.3753, 0.3753, 0.3753], [0.3753, 0.3753, 0.8740], [0.3753, 0.8740, 0.3753], [0.8740, 0.3753, 0.3753]]
}

{
  "formula": "CePrNd2Bi5",
  "functional": "PBE-GGA",
  "state": "optimized geometry",
  "formation_energy_ev_per_atom": -0.006,
  "magmom_total_mub_per_cell": 0.8,
  "e_tot_ev_per_cell": -39.70,
  "lattice_angstrom": [[5.5955, 0.0000, 0.0000], [0.0000, 5.5955, 0.0000], [0.0000, 0.0000, 12.1346]],
  "species": ["Ce", "Pr", "Nd", "Nd", "Bi", "Bi", "Bi", "Bi", "Bi"],
  "frac_coords": [[0.0000, 0.0000, 0.0000], [0.0000, 0.0000, 0.5000], [0.5000, 0.5000, 0.2753], [0.5000, 0.5000, 0.7247], [0.0000, 0.0000, 0.2447], [0.0000, 0.0000, 0.7553], [0.0000, 0.5000, 0.5000], [0.5000, 0.0000, 0.5000], [0.5000, 0.5000, 0.0000]]
}

{
  "formula": "NaCu2Br",
  "functional": "PBE-GGA",
  "state": "optimized geometry",
  "magmom_total_mub_per_cell": 0.0,
  "raw_formation_energy_ev_per_atom": 0.22,
  "e_above_lowest_polymorph_ev_per_atom": 0.000,
  "e_tot_ev_per_cell": -41.23,
  "lattice_angstrom": [[8.1554, 0.0000, 0.0000], [0.0000, 8.1554, 0.0000], [0.0000, 0.0000, 5.2305]],
  "species": ["Na", "Na", "Na", "Na", "Cu", "Cu", "Cu", "Cu", "Cu", "Cu", "Cu", "Cu", "Br", "Br", "Br", "Br"],
  "frac_coords": [[0.0000, 0.0000, 0.0000], [0.0000, 0.5000, 0.2500], [0.5000, 0.0000, 0.7500], [0.5000, 0.5000, 0.5000], [0.2026, 0.2500, 0.6250], [0.2500, 0.7026, 0.8750], [0.2500, 0.7974, 0.3750], [0.2974, 0.2500, 0.1250], [0.7026, 0.7500, 0.1250], [0.7500, 0.2026, 0.3750], [0.7500, 0.2974, 0.8750], [0.7974, 0.7500, 0.6250], [0.0000, 0.0000, 0.5000], [0.0000, 0.5000, 0.7500], [0.5000, 0.0000, 0.2500], [0.5000, 0.5000, 0.0000]]
}